[1]
# MnCdTcH (PBE, optimized geometry)
data_MnCdTcH
_cell_length_a 2.707
_cell_length_b 4.566
_cell_length_c 8.180
_cell_angle_alpha 90.00
_cell_angle_beta 92.83
_cell_angle_gamma 90.00
_space_group_name_H-M_alt 'P 1'
_space_group_IT_number 1
_space_group_name_Hall 'P 1'
loop_
_atom_site_label
_atom_site_fract_x
_atom_site_fract_y
_atom_site_fract_z
Mn1 0.652 0.000 0.037
Mn2 0.652 0.500 0.537
Cd1 0.913 0.000 0.718
Cd2 0.913 0.500 0.218
Tc1 0.351 0.000 0.393
Tc2 0.351 0.500 0.893
H1 0.192 0.000 0.179
H2 0.192 0.500 0.679
# energy above the most stable polymorph in this dataset = 0.608 eV per formula unit



[2]
# Ta2CoCu2S6 (PBE, optimized geometry)
data_Ta2CoCu2S6
_cell_length_a 6.125
_cell_length_b 6.125
_cell_length_c 5.947
_cell_angle_alpha 92.92
_cell_angle_beta 92.92
_cell_angle_gamma 123.91
_space_group_name_H-M_alt 'P 1'
_space_group_IT_number 1
_space_group_name_Hall 'P 1'
loop_
_atom_site_label
_atom_site_fract_x
_atom_site_fract_y
_atom_site_fract_z
Ta1 0.362 0.638 0.500
Ta2 0.638 0.362 0.500
Co1 0.000 0.000 0.500
Cu1 0.701 0.299 0.000
Cu2 0.299 0.701 0.000
S1 0.721 0.721 0.762
S2 0.008 0.343 0.730
S3 0.279 0.279 0.238
S4 0.343 0.008 0.730
S5 0.992 0.657 0.270
S6 0.657 0.992 0.270
# energy relative to the elements, uncorrected = -0.550 eV per atom



[3]
# NbGeTe (PBE, optimized geometry)
data_NbGeTe
_cell_length_a 3.437
_cell_length_b 3.437
_cell_length_c 6.334
_cell_angle_alpha 90.00
_cell_angle_beta 90.00
_cell_angle_gamma 120.00
_space_group_name_H-M_alt 'P 1'
_space_group_IT_number 1
_space_group_name_Hall 'P 1'
loop_
_atom_site_label
_atom_site_fract_x
_atom_site_fract_y
_atom_site_fract_z
Nb1 0.000 0.000 0.147
Ge1 0.667 0.333 0.440
Te1 0.333 0.667 0.837
# energy relative to the elements, uncorrected = -0.100 eV per atom



no.,DOS(E_F) (states/eV per cell),total magnetic moment (μB per formula unit)
1,5.83,3.1
2,4.48,1.1
3,1.65,0.0